# 1
## BaInFeSe2 (meta-GGA SCAN)

Data for a crystal of BaInFeSe2 relaxed with PBEsol.

- Uncorrected energy: -25.49 eV/atom
- Formation energy without anion corrections: 753 meV per atom
- DOS at the Fermi energy: 0.946 states/eV/atom

a = 5.9015 Å, b = 5.9015 Å, c = 6.3996 Å
α = 90.00°, β = 90.00°, γ = 90.00°
With the nearest neighbours (Å) after each atom.
Space group P4/mmm (No. 123)
Symmetry-distinct sites (fractional):
1 Ba 0.0000 0.0000 0.0000 (multiplicity 1)  4 Se 2.95, 2 In 3.20
2 In 0.0000 0.0000 0.5000 (multiplicity 1)  2 Ba 3.20
3 Fe 0.5000 0.5000 0.5000 (multiplicity 1)  4 In 4.17, 8 Se 4.35
4 Se 0.0000 0.5000 0.0000 (multiplicity 2)  2 Ba 2.95

---

# 2
## Ba2FeIr (meta-GGA SCAN)

Data for a crystal of Ba2FeIr relaxed with PBEsol.

- Uncorrected energy: -41.55 eV/atom
- Formation enthalpy at 0 K: 0.5369 eV/atom
- DOS at the Fermi energy: 0.613 states/eV/atom

a = 5.1865 Å, b = 5.2608 Å, c = 8.0041 Å
α = 90.00°, β = 90.00°, γ = 90.00°
With the nearest neighbours (Å) after each atom.
Space group Cmmm (No. 65)
Symmetry-distinct sites (fractional):
1 Ba 0.0000 0.0000 0.2276 (multiplicity 4)  4 Ir 3.17-3.20, 4 Fe 3.39-3.42
2 Fe 0.0000 0.5000 0.5000 (multiplicity 2)  8 Ba 3.39-3.42, 4 Fe 3.69
3 Ir 0.0000 0.5000 0.0000 (multiplicity 2)  8 Ba 3.17-3.20

---

# 3
## Ba2FeIr (meta-GGA SCAN)

Data for a crystal of Ba2FeIr relaxed with PBEsol.

- Uncorrected energy: -41.85 eV/atom
- Formation enthalpy at 0 K: 0.2326 eV/atom
- DOS at the Fermi energy: 0.955 states/eV/atom

a = 3.4896 Å, b = 3.4896 Å, c = 9.3288 Å
α = 90.00°, β = 90.00°, γ = 90.00°
With the nearest neighbours (Å) after each atom.
Space group P4mm (No. 99)
Symmetry-distinct sites (fractional):
1 Ba 0.0000 0.0000 0.0000 (multiplicity 1)  1 Ir 2.96
2 Ba 0.5000 0.5000 0.4249 (multiplicity 1)  1 Fe 2.91
3 Fe 0.5000 0.5000 0.7373 (multiplicity 1)  4 Ir 2.52
4 Ir 0.0000 0.0000 0.6830 (multiplicity 1)  4 Fe 2.52

---

# 4
## KBaFe (meta-GGA SCAN)

Data for a crystal of KBaFe relaxed with PBEsol.

- Uncorrected energy: -21.00 eV/atom
- Formation enthalpy at 0 K: 1.0039 eV/atom
- DOS at the Fermi energy: 0.344 states/eV/atom

a = 7.6930 Å, b = 7.6930 Å, c = 7.6930 Å
α = 90.00°, β = 90.00°, γ = 90.00°
With the nearest neighbours (Å) after each atom.
Space group F-43m (No. 216)
Symmetry-distinct sites (fractional):
1 K 0.0000 0.0000 0.0000 (multiplicity 4)  4 Ba 3.33
2 Ba 0.2500 0.2500 0.7500 (multiplicity 4)  4 Fe 3.33, 4 K 3.33
3 Fe 0.0000 0.0000 0.5000 (multiplicity 4)  4 Ba 3.33

---

# 5
## BaLaFe2W (meta-GGA SCAN)

Data for a crystal of BaLaFe2W relaxed with PBEsol.

- Uncorrected energy: -35.93 eV/atom
- Formation enthalpy at 0 K: 1.7917 eV/atom
- DOS at the Fermi energy: 1.072 states/eV/atom

a = 4.9230 Å, b = 4.9230 Å, c = 5.2117 Å
α = 90.00°, β = 90.00°, γ = 90.00°
With the nearest neighbours (Å) after each atom.
Space group P4/mmm (No. 123)
Symmetry-distinct sites (fractional):
1 Ba 0.0000 0.0000 0.0000 (multiplicity 1)  4 W 3.48, 8 Fe 3.58
2 La 0.5000 0.5000 0.5000 (multiplicity 1)  4 Fe 2.46, 2 W 2.61
3 Fe 0.0000 0.5000 0.5000 (multiplicity 2)  2 La 2.46
4 W 0.5000 0.5000 0.0000 (multiplicity 1)  2 La 2.61

---

# 6
## BaLi2Fe (meta-GGA SCAN)

Data for a crystal of BaLi2Fe relaxed with PBEsol.

- Uncorrected energy: -15.14 eV/atom
- Formation enthalpy at 0 K: 0.4766 eV/atom
- Energy above the most stable polymorph in this dataset: 0.000 eV/atom
- DOS at the Fermi energy: 0.710 states/eV/atom

a = 3.5533 Å, b = 4.3516 Å, c = 6.6629 Å
α = 90.00°, β = 105.32°, γ = 90.00°
With the nearest neighbours (Å) after each atom.
Space group Pm (No. 6)
Symmetry-distinct sites (fractional):
1 Ba 0.0000 0.0000 0.0000 (multiplicity 1)  4 Fe 3.19, 3 Li 3.45-3.47, 2 Ba 3.55
2 Li 0.2750 0.5000 0.5569 (multiplicity 1)  2 Fe 2.72-2.73, 4 Li 2.87-2.88
3 Li 0.7251 0.0000 0.4607 (multiplicity 1)  2 Fe 2.61, 4 Li 2.87-2.88
4 Fe 0.6172 0.5000 0.2352 (multiplicity 1)  4 Li 2.61-2.73

---

# 7
## BaLi2Fe (meta-GGA SCAN)

Data for a crystal of BaLi2Fe relaxed with PBEsol.

- Uncorrected energy: -15.06 eV/atom
- Formation enthalpy at 0 K: 0.5509 eV/atom
- Energy above the most stable polymorph in this dataset: 0.074 eV/atom
- DOS at the Fermi energy: 0.651 states/eV/atom

a = 4.3674 Å, b = 4.3674 Å, c = 5.1833 Å
α = 90.00°, β = 90.00°, γ = 90.00°
With the nearest neighbours (Å) after each atom.
Space group P4/mmm (No. 123)
Symmetry-distinct sites (fractional):
1 Ba 0.0000 0.0000 0.0000 (multiplicity 1)  4 Fe 3.09, 8 Li 3.39
2 Li 0.0000 0.5000 0.5000 (multiplicity 2)  4 Li 3.09, 4 Ba 3.39, 4 Fe 3.39
3 Fe 0.5000 0.5000 0.0000 (multiplicity 1)  4 Ba 3.09, 8 Li 3.39

---

# 8
## BaLiFe2 (meta-GGA SCAN)

Data for a crystal of BaLiFe2 relaxed with PBEsol.

- Uncorrected energy: -18.84 eV/atom
- Formation enthalpy at 0 K: 0.7101 eV/atom
- Energy above the most stable polymorph in this dataset: 0.033 eV/atom
- DOS at the Fermi energy: 0.696 states/eV/atom

a = 3.4120 Å, b = 3.4120 Å, c = 6.8242 Å
α = 90.00°, β = 90.00°, γ = 90.00°
With the nearest neighbours (Å) after each atom.
Space group P4/mmm (No. 123)
Symmetry-distinct sites (fractional):
1 Ba 0.0000 0.0000 0.0000 (multiplicity 1)  8 Fe 3.36, 4 Ba 3.41, 2 Li 3.41
2 Li 0.0000 0.0000 0.5000 (multiplicity 1)  8 Fe 2.64
3 Fe 0.5000 0.5000 0.3430 (multiplicity 2)  1 Fe 2.14

---

# 9
## BaLiFe2 (meta-GGA SCAN)

Data for a crystal of BaLiFe2 relaxed with PBEsol.

- Uncorrected energy: -18.76 eV/atom
- Formation enthalpy at 0 K: 0.7918 eV/atom
- Energy above the most stable polymorph in this dataset: 0.115 eV/atom
- DOS at the Fermi energy: 0.452 states/eV/atom

a = 6.7010 Å, b = 6.7010 Å, c = 6.7010 Å
α = 90.00°, β = 90.00°, γ = 90.00°
With the nearest neighbours (Å) after each atom.
Space group F-43m (No. 216)
Symmetry-distinct sites (fractional):
1 Ba 0.0000 0.0000 0.0000 (multiplicity 4)  4 Li 2.90, 4 Fe 2.90
2 Li 0.2500 0.2500 0.2500 (multiplicity 4)  4 Fe 2.90, 4 Ba 2.90
3 Fe 0.0000 0.0000 0.5000 (multiplicity 4)  4 Fe 2.90, 4 Li 2.90
4 Fe 0.2500 0.2500 0.7500 (multiplicity 4)  4 Ba 2.90, 4 Fe 2.90

---

# 10
## BaLiFe2 (meta-GGA SCAN)

Data for a crystal of BaLiFe2 relaxed with PBEsol.

- Uncorrected energy: -18.87 eV/atom
- Formation enthalpy at 0 K: 0.6772 eV/atom
- Energy above the most stable polymorph in this dataset: 0.000 eV/atom
- DOS at the Fermi energy: 0.909 states/eV/atom

a = 3.0686 Å, b = 4.3700 Å, c = 6.3379 Å
α = 90.00°, β = 100.87°, γ = 90.00°
With the nearest neighbours (Å) after each atom.
Space group P2/m (No. 10)
Symmetry-distinct sites (fractional):
1 Ba 0.0000 0.0000 0.0000 (multiplicity 1)  2 Ba 3.07, 2 Li 3.25, 4 Fe 3.40
2 Li 0.5000 0.0000 0.5000 (multiplicity 1)  4 Fe 2.49
3 Fe 0.2828 0.5000 0.6373 (multiplicity 2)  2 Fe 2.21-2.38

---

# 11
## BaMgFe (meta-GGA SCAN)

Data for a crystal of BaMgFe relaxed with PBEsol.

- Uncorrected energy: -20.39 eV/atom
- Formation enthalpy at 0 K: 0.4909 eV/atom
- DOS at the Fermi energy: 1.204 states/eV/atom

a = 3.5176 Å, b = 3.5176 Å, c = 12.4564 Å
α = 90.00°, β = 90.00°, γ = 90.00°
With the nearest neighbours (Å) after each atom.
Space group I4mm (No. 107)
Symmetry-distinct sites (fractional):
1 Ba 0.0000 0.0000 0.0000 (multiplicity 2)  4 Fe 3.34, 1 Mg 3.41, 4 Ba 3.52
2 Mg 0.0000 0.0000 0.7265 (multiplicity 2)  4 Fe 2.75
3 Fe 0.0000 0.0000 0.3208 (multiplicity 2)  4 Mg 2.75

---

# 12
## BaMgFe2 (meta-GGA SCAN)

Data for a crystal of BaMgFe2 relaxed with PBEsol.

- Uncorrected energy: -19.28 eV/atom
- Formation enthalpy at 0 K: 0.9114 eV/atom
- Energy above the most stable polymorph in this dataset: 0.513 eV/atom
- DOS at the Fermi energy: 1.555 states/eV/atom

a = 6.9957 Å, b = 6.9957 Å, c = 6.9957 Å
α = 90.00°, β = 90.00°, γ = 90.00°
With the nearest neighbours (Å) after each atom.
Space group Fm-3m (No. 225)
Symmetry-distinct sites (fractional):
1 Ba 0.0000 0.0000 0.0000 (multiplicity 4)  8 Fe 3.03
2 Mg 0.0000 0.0000 0.5000 (multiplicity 4)  8 Fe 3.03
3 Fe 0.2500 0.2500 0.2500 (multiplicity 8)  4 Ba 3.03, 4 Mg 3.03